Entry 1:
Density functional theory data (GGA-PBE) for ZrRePt2 after structural relaxation.

Cell lengths 4.9961, 4.9961, 4.7884 Å; angles 100.84, 100.84, 34.88 degrees
Closest atoms and distances in Å follow each position.
Fractional coordinates of all 4 atoms:
Zr 0.0000 0.0000 0.0000  4 Re 2.82, 6 Pt 2.84-2.94, 2 Zr 2.99
Re 0.5000 0.5000 0.5000  6 Pt 2.79-2.91, 4 Zr 2.82, 2 Re 2.99
Pt 0.2418 0.2418 0.7366  6 Pt 2.75-2.99, 3 Re 2.79-2.91, 3 Zr 2.84-2.94
Pt 0.7582 0.7582 0.2634  6 Pt 2.75-2.99, 3 Re 2.79-2.91, 3 Zr 2.84-2.94

Summary:
DFT total energy: -8.570 eV per atom
ΔH_f (0 K): -0.301 eV per atom
Energy relative to the lowest polymorph listed for this composition: 0.244 eV/atom
SG: C2/m (12)
ρ: 16.5 Mg/m³

***

Entry 2:
Density functional theory data (GGA-PBE) for Pt5Rh3 after structural relaxation.

Cell lengths 8.3508, 8.3508, 8.3508 Å; angles 152.88, 152.88, 38.73 degrees
Closest atoms and distances in Å follow each position.
Fractional coordinates of all 8 atoms:
Pt 0.0000 0.0000 0.0000  8 Rh 2.76-2.77, 4 Pt 2.76
Pt 0.2499 0.2499 0.0000  8 Pt 2.77-2.80, 4 Rh 2.80
Pt 0.6232 0.1232 0.5000  6 Pt 2.76-2.80, 6 Rh 2.76-2.77
Pt 0.7501 0.7501 0.0000  8 Pt 2.77-2.80, 4 Rh 2.80
Pt 0.8768 0.3768 0.5000  6 Rh 2.76-2.77, 6 Pt 2.76-2.80
Rh 0.1231 0.6231 0.5000  10 Pt 2.76-2.80, 2 Rh 2.76
Rh 0.3769 0.8769 0.5000  2 Rh 2.76, 10 Pt 2.76-2.80
Rh 0.5000 0.5000 0.0000  4 Rh 2.76, 8 Pt 2.76-2.77

Summary:
DFT total energy: -6.556 eV per atom
ΔH_f (0 K): -0.024 eV per atom
SG: I-4m2 (119)
ρ: 17.7 Mg/m³

***

Entry 3:
Density functional theory data (GGA-PBE) for Pt3Rh after structural relaxation.

Cell lengths 5.5842, 13.6965, 4.8043 Å; angles 90.00, 90.00, 90.00 degrees
Closest atoms and distances in Å follow each position.
Fractional coordinates of all 24 atoms:
Pt 0.9995 0.0827 0.1682  4 Rh 2.77-2.80, 8 Pt 2.77-2.80
Pt 0.0002 0.2500 0.5045  8 Pt 2.76-2.80, 4 Rh 2.77-2.80
Pt 0.9995 0.4173 0.1682  4 Rh 2.77-2.80, 8 Pt 2.77-2.80
Pt 0.0005 0.5827 0.8318  4 Rh 2.77-2.80, 8 Pt 2.77-2.80
Pt 0.9998 0.7500 0.4955  8 Pt 2.76-2.80, 4 Rh 2.77-2.80
Pt 0.0005 0.9173 0.8318  4 Rh 2.77-2.80, 8 Pt 2.77-2.80
Pt 0.2500 0.0827 0.6686  8 Pt 2.77-2.80, 4 Rh 2.78-2.80
Pt 0.2500 0.4173 0.6686  8 Pt 2.77-2.80, 4 Rh 2.78-2.80
Pt 0.2500 0.7500 0.9989  8 Pt 2.76-2.80, 4 Rh 2.79-2.80
Pt 0.5005 0.0827 0.1682  4 Rh 2.77-2.80, 8 Pt 2.77-2.80
Pt 0.4998 0.2500 0.5045  8 Pt 2.76-2.80, 4 Rh 2.77-2.80
Pt 0.5005 0.4173 0.1682  4 Rh 2.77-2.80, 8 Pt 2.77-2.80
Pt 0.4995 0.5827 0.8318  4 Rh 2.77-2.80, 8 Pt 2.77-2.80
Pt 0.5002 0.7500 0.4955  8 Pt 2.76-2.80, 4 Rh 2.77-2.80
Pt 0.4995 0.9173 0.8318  4 Rh 2.77-2.80, 8 Pt 2.77-2.80
Pt 0.7500 0.2500 0.0011  8 Pt 2.76-2.80, 4 Rh 2.79-2.80
Pt 0.7500 0.5827 0.3314  8 Pt 2.77-2.80, 4 Rh 2.78-2.80
Pt 0.7500 0.9173 0.3314  8 Pt 2.77-2.80, 4 Rh 2.78-2.80
Rh 0.2500 0.2500 0.0034  12 Pt 2.77-2.80
Rh 0.2500 0.5821 0.3322  12 Pt 2.77-2.80
Rh 0.2500 0.9179 0.3322  12 Pt 2.77-2.80
Rh 0.7500 0.0821 0.6678  12 Pt 2.77-2.80
Rh 0.7500 0.4179 0.6678  12 Pt 2.77-2.80
Rh 0.7500 0.7500 0.9966  12 Pt 2.77-2.80

Summary:
DFT total energy: -6.367 eV per atom
ΔH_f (0 K): 0.001 eV per atom
SG: Pmmn (59)
ρ: 18.7 Mg/m³

***

Entry 4:
Density functional theory data (GGA-PBE) for PtRh after structural relaxation.

Cell lengths 4.7928, 4.7928, 4.7928 Å; angles 131.98, 131.98, 70.26 degrees
Closest atoms and distances in Å follow each position.
Fractional coordinates of all 4 atoms:
Pt 0.3750 0.6250 0.7500  8 Rh 2.76, 4 Pt 2.76
Pt 0.6250 0.3750 0.2500  8 Rh 2.76, 4 Pt 2.76
Rh 0.1250 0.8750 0.2500  8 Pt 2.76, 4 Rh 2.76
Rh 0.8750 0.1250 0.7500  8 Pt 2.76, 4 Rh 2.76

Summary:
DFT total energy: -6.726 eV per atom
ΔH_f (0 K): -0.030 eV per atom
SG: I4_1/amd (141)
ρ: 16.6 Mg/m³

***

Entry 5:
Density functional theory data (GGA-PBE) for PtRh3 after structural relaxation.

Cell lengths 4.7357, 8.9547, 5.4991 Å; angles 90.00, 90.00, 90.00 degrees
Closest atoms and distances in Å follow each position.
Fractional coordinates of all 16 atoms:
Pt 0.0853 0.2500 0.1227  10 Rh 2.73-2.77, 2 Pt 2.75
Pt 0.4147 0.7500 0.6227  10 Rh 2.73-2.77, 2 Pt 2.75
Pt 0.5853 0.2500 0.3773  10 Rh 2.73-2.77, 2 Pt 2.75
Pt 0.9147 0.7500 0.8773  10 Rh 2.73-2.77, 2 Pt 2.75
Rh 0.0828 0.2500 0.6271  8 Rh 2.72-2.75, 4 Pt 2.73-2.77
Rh 0.2476 0.5010 0.3748  9 Rh 2.72-2.76, 3 Pt 2.73-2.76
Rh 0.2476 0.9990 0.3748  9 Rh 2.72-2.76, 3 Pt 2.73-2.76
Rh 0.2524 0.0010 0.8748  9 Rh 2.72-2.76, 3 Pt 2.73-2.76
Rh 0.2524 0.4990 0.8748  9 Rh 2.72-2.76, 3 Pt 2.73-2.76
Rh 0.4172 0.7500 0.1271  8 Rh 2.72-2.75, 4 Pt 2.73-2.77
Rh 0.5828 0.2500 0.8729  8 Rh 2.72-2.75, 4 Pt 2.73-2.77
Rh 0.7476 0.5010 0.1252  9 Rh 2.72-2.76, 3 Pt 2.73-2.76
Rh 0.7476 0.9990 0.1252  9 Rh 2.72-2.76, 3 Pt 2.73-2.76
Rh 0.7524 0.0010 0.6252  9 Rh 2.72-2.76, 3 Pt 2.73-2.76
Rh 0.7524 0.4990 0.6252  9 Rh 2.72-2.76, 3 Pt 2.73-2.76
Rh 0.9172 0.7500 0.3729  8 Rh 2.72-2.75, 4 Pt 2.73-2.77

Summary:
DFT total energy: -7.006 eV per atom
ΔH_f (0 K): 0.018 eV per atom
SG: Pnma (62)
ρ: 14.3 Mg/m³

***

Entry 6:
Density functional theory data (GGA-PBE) for Pt3Rh11 after structural relaxation.

Cell lengths 7.5401, 7.5401, 7.5401 Å; angles 145.96, 115.49, 74.99 degrees
Closest atoms and distances in Å follow each position.
Fractional coordinates of all 14 atoms:
Pt 0.0000 0.0000 0.0000  2 Pt 2.64, 12 Rh 2.85-2.92
Pt 0.3277 0.0000 0.3277  8 Rh 2.61-2.85, 2 Pt 2.64-2.77
Pt 0.6723 0.0000 0.6723  8 Rh 2.61-2.85, 2 Pt 2.64-2.77
Rh 0.0588 0.2190 0.8399  9 Rh 2.55-2.75
Rh 0.0612 0.3967 0.6645  6 Rh 2.47-2.75
Rh 0.2678 0.6033 0.6645  6 Rh 2.47-2.75
Rh 0.3043 0.8043 0.5000  2 Pt 2.72, 8 Rh 2.75
Rh 0.3791 0.2190 0.1601  9 Rh 2.55-2.75
Rh 0.5000 0.5000 0.0000  4 Pt 2.61
Rh 0.6209 0.7810 0.8399  9 Rh 2.55-2.75
Rh 0.6957 0.1957 0.5000  2 Pt 2.72, 8 Rh 2.75
Rh 0.7322 0.3967 0.3355  6 Rh 2.47-2.75
Rh 0.9388 0.6033 0.3355  6 Rh 2.47-2.75
Rh 0.9412 0.7810 0.1601  9 Rh 2.55-2.75

Summary:
DFT total energy: -6.844 eV per atom
ΔH_f (0 K): 0.227 eV per atom
SG: Immm (71)
ρ: 13.4 Mg/m³

***

Entry 7:
Density functional theory data (GGA-PBE) for PtRh3 after structural relaxation.

Cell lengths 4.4792, 5.5033, 4.7424 Å; angles 90.00, 90.00, 90.00 degrees
Closest atoms and distances in Å follow each position.
Fractional coordinates of all 8 atoms:
Pt 0.2500 0.2500 0.1662  12 Rh 2.74-2.75
Pt 0.7500 0.7500 0.8338  12 Rh 2.74-2.75
Rh 0.2500 0.5013 0.6657  8 Rh 2.73-2.77, 4 Pt 2.74-2.75
Rh 0.2500 0.7500 0.1680  8 Rh 2.73-2.75, 4 Pt 2.74-2.75
Rh 0.2500 0.9987 0.6657  8 Rh 2.73-2.77, 4 Pt 2.74-2.75
Rh 0.7500 0.0013 0.3343  8 Rh 2.73-2.77, 4 Pt 2.74-2.75
Rh 0.7500 0.2500 0.8320  8 Rh 2.73-2.75, 4 Pt 2.74-2.75
Rh 0.7500 0.4987 0.3343  8 Rh 2.73-2.77, 4 Pt 2.74-2.75

Summary:
DFT total energy: -6.979 eV per atom
ΔH_f (0 K): 0.044 eV per atom
SG: Pmmn (59)
ρ: 14.3 Mg/m³

***

Entry 8:
Density functional theory data (GGA-PBE) for PtRh3 after structural relaxation.

Cell lengths 2.7385, 2.7385, 7.7506 Å; angles 90.00, 90.00, 90.00 degrees
Closest atoms and distances in Å follow each position.
Fractional coordinates of all 4 atoms:
Pt 0.0000 0.0000 0.0000  4 Pt 2.74, 8 Rh 2.78
Rh 0.0000 0.0000 0.5000  12 Rh 2.70-2.74
Rh 0.5000 0.5000 0.2573  8 Rh 2.70-2.74, 4 Pt 2.78
Rh 0.5000 0.5000 0.7427  8 Rh 2.70-2.74, 4 Pt 2.78

Summary:
DFT total energy: -7.039 eV per atom
ΔH_f (0 K): -0.015 eV per atom
SG: P4/mmm (123)
ρ: 14.4 Mg/m³

***

Entry 9:
Density functional theory data (GGA-PBE) for PtRh after structural relaxation.

Cell lengths 4.3046, 4.3046, 8.0316 Å; angles 90.00, 90.00, 120.00 degrees
Closest atoms and distances in Å follow each position.
Fractional coordinates of all 8 atoms:
Pt 0.3333 0.6667 0.0816  7 Rh 2.66-2.83, 4 Pt 2.71-2.81
Pt 0.3333 0.6667 0.4184  7 Rh 2.66-2.83, 4 Pt 2.71-2.81
Pt 0.6667 0.3333 0.5816  7 Rh 2.66-2.83, 4 Pt 2.71-2.81
Pt 0.6667 0.3333 0.9184  7 Rh 2.66-2.83, 4 Pt 2.71-2.81
Rh 0.0000 0.0000 0.2500  3 Rh 2.49
Rh 0.0000 0.0000 0.7500  3 Rh 2.49
Rh 0.3333 0.6667 0.7500  3 Rh 2.49, 2 Pt 2.66
Rh 0.6667 0.3333 0.2500  3 Rh 2.49, 2 Pt 2.66

Summary:
DFT total energy: -6.416 eV per atom
ΔH_f (0 K): 0.280 eV per atom
SG: P6_3/mmc (194)
ρ: 15.4 Mg/m³

***

Entry 10:
Density functional theory data (GGA-PBE) for PtRh3 after structural relaxation.

Cell lengths 5.1335, 5.1335, 5.1335 Å; angles 116.98, 116.98, 116.98 degrees
Closest atoms and distances in Å follow each position.
Fractional coordinates of all 4 atoms:
Pt 0.0000 0.0000 0.0000  6 Rh 2.68, 2 Pt 2.71
Rh 0.0000 0.5000 0.5000  6 Rh 2.68-2.71, 2 Pt 2.68
Rh 0.5000 0.0000 0.5000  2 Pt 2.68, 6 Rh 2.68-2.71
Rh 0.5000 0.5000 0.0000  6 Rh 2.68-2.71, 2 Pt 2.68

Summary:
DFT total energy: -6.725 eV per atom
ΔH_f (0 K): 0.299 eV per atom
SG: R-3m (166)
ρ: 14.0 Mg/m³